# Y5TmSi4 PBE-GGA relaxed
# * magnetic moment: 0.00 μB per formula unit
# * energy: -63.98 eV per cell
# * N(E_F): 0.50 states/eV per atom
# * energy relative to the elements, uncorrected: -53.02 kJ per mole of atoms
data_Y5TmSi4
_cell_length_a 7.9107
_cell_length_b 7.9107
_cell_length_c 6.8040
_cell_angle_alpha 90.24
_cell_angle_beta 90.24
_cell_angle_gamma 36.05
_space_group_name_H-M_alt 'P 1'
_space_group_IT_number 1
_space_group_name_Hall 'P 1'
loop_
_atom_site_label
_atom_site_type_symbol
_atom_site_fract_x
_atom_site_fract_y
_atom_site_fract_z
Y1 Y 0.0000 0.0000 0.0000
Y2 Y 0.3353 0.3353 0.0044
Y3 Y 0.3350 0.3350 0.4942
Y4 Y 0.6650 0.6650 0.5058
Y5 Y 0.6647 0.6647 0.9956
Tm1 Tm 0.0000 0.0000 0.5000
Si1 Si 0.1770 0.1770 0.7493
Si2 Si 0.4913 0.4913 0.7465
Si3 Si 0.5087 0.5087 0.2535
Si4 Si 0.8230 0.8230 0.2507